[1]
VASP calculation (PBE-GGA) on Tb2S3O12 after structural relaxation.

Summary:
Density of states at the Fermi level (states/eV per atom): 0.000
ΔE_f (raw) (eV/atom): -2.166
Space group: Pbcn (60)
E (eV per atom): -6.939

a b c (Å): 9.3412 9.4295 13.0699
angles (deg): 90.00 90.00 90.00
Element x y z (fractional)
S: 0.1093 0.3907 0.8549
Tb: 0.2500 0.9647 0.3833
O: 0.1260 0.1535 0.4396
O: 0.6260 0.3465 0.9396
O: 0.8335 0.9309 0.9564
O: 0.1435 0.2402 0.8330
O: 0.1665 0.4309 0.9564
O: 0.9432 0.1671 0.5712
O: 0.8565 0.7598 0.1670
S: 0.9660 0.7500 0.5000
O: 0.6743 0.0168 0.2758
O: 0.3740 0.8465 0.9396
O: 0.6435 0.2402 0.6670
S: 0.3907 0.6093 0.3549
O: 0.6665 0.0691 0.4564
O: 0.9517 0.4091 0.8537
O: 0.4517 0.4091 0.6463
O: 0.6260 0.1535 0.0604
O: 0.9517 0.0909 0.1463
O: 0.8740 0.8465 0.5604
O: 0.1665 0.0691 0.0436
O: 0.0568 0.6671 0.5712
O: 0.1260 0.3465 0.5604
O: 0.3565 0.7598 0.3330
Tb: 0.2500 0.0353 0.8833
Tb: 0.2500 0.5353 0.6167
S: 0.5340 0.2500 0.0000
O: 0.8740 0.6535 0.4396
S: 0.8907 0.6093 0.1451
O: 0.6743 0.4832 0.7242
O: 0.5483 0.9091 0.6463
S: 0.6093 0.1093 0.3549
O: 0.5483 0.5909 0.3537
O: 0.3565 0.7402 0.6670
O: 0.1435 0.2598 0.1670
Tb: 0.7500 0.5353 0.8833
O: 0.0483 0.5909 0.1463
Tb: 0.7500 0.4647 0.3833
O: 0.4432 0.1671 0.9288
O: 0.9432 0.3329 0.4288
O: 0.8565 0.7402 0.8330
O: 0.8257 0.9832 0.7758
S: 0.3907 0.8907 0.6451
O: 0.4432 0.3329 0.0712
Tb: 0.7500 0.0353 0.6167
O: 0.0568 0.8329 0.4288
O: 0.4517 0.0909 0.3537
Tb: 0.7500 0.9647 0.1167
Tb: 0.2500 0.4647 0.1167
S: 0.6093 0.3907 0.6451
O: 0.8335 0.5691 0.0436
S: 0.0340 0.2500 0.5000
O: 0.0483 0.9091 0.8537
O: 0.1743 0.4832 0.7758
S: 0.8907 0.8907 0.8549
O: 0.5568 0.6671 0.9288
O: 0.3257 0.9832 0.7242
O: 0.3740 0.6535 0.0604
S: 0.1093 0.1093 0.1451
S: 0.4660 0.7500 0.0000
O: 0.3335 0.9309 0.5436
O: 0.8257 0.5168 0.2242
O: 0.5568 0.8329 0.0712
O: 0.3335 0.5691 0.4564
O: 0.6665 0.4309 0.5436
O: 0.6435 0.2598 0.3330
O: 0.1743 0.0168 0.2242
O: 0.3257 0.5168 0.2758

[2]
VASP calculation (PBE-GGA) on LaEuIrRh after structural relaxation.

Summary:
Density of states at the Fermi level (states/eV per atom): 2.711
Formation enthalpy at 0 K (eV/atom): -0.462
Space group: F-43m (216)
E (eV per atom): -8.316

a b c (Å): 5.0212 5.0212 5.0212
angles (deg): 60.00 60.00 60.00
Last column: magnetic moment on the atom in μB.
Element x y z (fractional)
La: 0.7500 0.7500 0.7500  0.03
Rh: 0.0000 0.0000 0.0000  -0.16
Ir: 0.5000 0.5000 0.5000  -0.14
Eu: 0.2500 0.2500 0.2500  6.67